1.
8
Lattice="-1.482 -0.577 3.594 -2.395 -0.744 -1.107 3.443 -10.647 -0.290" Properties=species:S:1:pos:R:3 comment="Re2MoIr PBE optimized geometry" relative_energy_ev_per_fu=0.41 spacegroup="No. 59" pbc="T T T"
Re 1.264 -9.393 0.298
Re -0.457 -4.068 0.444
Re -1.983 -6.004 1.652
Re -0.262 -11.326 1.508
Mo -1.118 -8.686 1.579
Mo -1.324 -1.386 0.517
Ir -2.826 -3.398 1.723
Ir 0.385 -6.674 0.372


2.
4
Lattice="3.911 0.000 0.000 0.000 3.911 0.000 0.000 0.000 3.927" Properties=species:S:1:pos:R:3 comment="Re2MoIr PBE optimized geometry" relative_energy_ev_per_fu=0.12 spacegroup="No. 123" pbc="T T T"
Ir 1.955 0.000 1.963
Mo 0.000 1.955 1.963
Re 0.000 0.000 0.000
Re 1.955 1.955 0.000


| no. | Fermi-level density of states (states/eV/cell) | raw total energy (eV/cell) | calculated formation energy (meV/atom) |
| --- | --- | --- | --- |
| 1 | 7.6 | -89.37 | -24 |
| 2 | 3.2 | -44.97 | -95 |